Record 1
Material: Na2Ga2Br7
Method: DFT, PBE-GGA
State: optimized geometry

Cell lengths 6.700, 7.989, 7.989 Å; angles 99.60, 100.46, 100.46 degrees
Positions (direct):
Na (0.000, 0.303, 0.697)
Na (0.000, 0.697, 0.303)
Ga (0.402, 0.220, 0.220)
Ga (0.598, 0.780, 0.780)
Br (0.799, 0.924, 0.598)
Br (0.201, 0.402, 0.076)
Br (0.201, 0.076, 0.402)
Br (0.799, 0.598, 0.924)
Br (0.500, 0.000, 0.000)
Br (0.271, 0.598, 0.598)
Br (0.729, 0.402, 0.402)

Output
* total magnetic moment: 0.00 μB per cell
* volume: 36.78 A^3/atom
* total DFT energy (no corrections): -31.32 eV for the cell shown

Record 2
Material: Li2Cd2F
Method: DFT, PBE-GGA
State: optimized geometry

Cell lengths 3.530, 3.530, 7.868 Å; angles 77.04, 77.04, 90.00 degrees
Positions (direct):
F (0.000, 0.000, 0.000)
Li (0.750, 0.250, 0.500)
Li (0.250, 0.750, 0.500)
Cd (0.400, 0.400, 0.200)
Cd (0.600, 0.600, 0.800)

Output
* total magnetic moment: 0.00 μB per cell
* volume: 18.59 A^3/atom
* distance to the lowest polymorph of the same formula: 2.50 eV per formula unit
* total DFT energy (no corrections): -9.99 eV for the cell shown

Record 3
Material: Pm5Nd5Sm
Method: DFT, PBE-GGA
State: optimized geometry

Cell lengths 7.070, 8.709, 9.798 Å; angles 44.37, 89.05, 104.44 degrees
Positions (direct):
Pm (0.302, 0.045, 0.312)
Pm (0.353, 0.506, 0.775)
Pm (0.000, 0.500, 0.500)
Pm (0.647, 0.494, 0.225)
Pm (0.698, 0.955, 0.688)
Nd (0.145, 0.496, 0.147)
Nd (0.236, 0.083, 0.643)
Nd (0.500, 0.000, 0.000)
Nd (0.764, 0.917, 0.357)
Nd (0.855, 0.504, 0.853)
Sm (0.000, 0.000, 0.000)

Output
* total magnetic moment: 0.00 μB per cell
* volume: 35.57 A^3/atom
* distance to the lowest polymorph of the same formula: 0.00 eV per formula unit
* formation enthalpy at 0 K: 0.135 eV per atom
* total DFT energy (no corrections): -50.83 eV for the cell shown

Record 4
Material: Pr2PtPb
Method: DFT, PBE-GGA
State: optimized geometry

Cell lengths 3.641, 3.641, 8.338 Å; angles 90.00, 90.00, 90.00 degrees
Positions (direct):
Pb (0.500, 0.500, 0.500)
Pr (0.000, 0.000, 0.787)
Pr (0.000, 0.000, 0.213)
Pt (0.500, 0.500, 0.000)

Output
* total magnetic moment: 0.00 μB per cell
* volume: 27.64 A^3/atom
* formation enthalpy at 0 K: -0.769 eV per atom
* total DFT energy (no corrections): -22.38 eV for the cell shown

Record 5
Material: SrNi2P8
Method: DFT, PBE-GGA
State: optimized geometry

Cell lengths 4.351, 8.004, 8.004 Å; angles 74.20, 67.77, 67.77 degrees
Positions (direct):
Sr (0.000, 0.000, 0.000)
Ni (0.737, 0.680, 0.680)
Ni (0.263, 0.320, 0.320)
P (0.197, 0.367, 0.028)
P (0.803, 0.972, 0.633)
P (0.175, 0.735, 0.735)
P (0.825, 0.265, 0.265)
P (0.197, 0.028, 0.367)
P (0.803, 0.633, 0.972)
P (0.743, 0.501, 0.501)
P (0.257, 0.499, 0.499)

Output
* total magnetic moment: 0.00 μB per cell
* volume: 21.46 A^3/atom
* formation enthalpy at 0 K: -0.116 eV per atom
* total DFT energy (no corrections): -57.80 eV for the cell shown

Record 6
Material: Tm4ZnNi2
Method: DFT, PBE-GGA
State: optimized geometry

Cell lengths 4.633, 4.633, 8.983 Å; angles 75.06, 75.06, 60.00 degrees
Positions (direct):
Tm (0.383, 0.383, 0.850)
Tm (0.204, 0.204, 0.387)
Tm (0.796, 0.796, 0.613)
Tm (0.617, 0.617, 0.150)
Zn (0.000, 0.000, 0.000)
Ni (0.095, 0.095, 0.716)
Ni (0.905, 0.905, 0.284)

Output
* total magnetic moment: 0.00 μB per cell
* volume: 22.77 A^3/atom
* distance to the lowest polymorph of the same formula: 0.30 eV per formula unit
* formation enthalpy at 0 K: -0.255 eV per atom
* total DFT energy (no corrections): -32.51 eV for the cell shown

Record 7
Material: AuCl3
Method: DFT, PBE-GGA
State: optimized geometry

Cell lengths 9.441, 9.441, 7.135 Å; angles 48.58, 48.58, 90.00 degrees
Positions (direct):
Au (0.000, 0.000, 0.000)
Au (0.750, 0.250, 0.500)
Cl (0.500, 0.500, 0.000)
Cl (0.250, 0.750, 0.500)
Cl (0.802, 0.125, 0.250)
Cl (0.948, 0.625, 0.250)
Cl (0.375, 0.198, 0.750)
Cl (0.875, 0.052, 0.750)

Output
* total magnetic moment: 0.00 μB per cell
* volume: 28.08 A^3/atom
* total DFT energy (no corrections): -17.07 eV for the cell shown

Record 8
Material: CeDySe2S
Method: DFT, PBE-GGA
State: optimized geometry

Cell lengths 4.055, 6.913, 9.626 Å; angles 90.00, 90.00, 107.05 degrees
Each line ends with the local moment (μB).
Positions (direct):
Ce (0.262, 0.524, 0.750)  0.88
Ce (0.738, 0.476, 0.250)  0.88
Dy (0.000, 0.000, 0.500)  0.02
Dy (0.000, 0.000, 0.000)  0.02
Se (0.645, 0.291, 0.565)  -0.01
Se (0.355, 0.709, 0.435)  -0.01
Se (0.355, 0.709, 0.065)  -0.01
Se (0.645, 0.291, 0.935)  -0.01
S (0.909, 0.819, 0.750)  -0.01
S (0.091, 0.181, 0.250)  -0.01

Output
* total magnetic moment: 1.90 μB per cell
* volume: 25.80 A^3/atom
* total DFT energy (no corrections): -62.68 eV for the cell shown

Record 9
Material: ZrTaRe2
Method: DFT, PBE-GGA
State: optimized geometry

Cell lengths 7.321, 7.321, 5.874 Å; angles 51.45, 51.45, 90.00 degrees
Positions (direct):
Re (0.639, 0.125, 0.250)
Re (0.111, 0.625, 0.250)
Re (0.375, 0.361, 0.750)
Re (0.875, 0.889, 0.750)
Zr (0.500, 0.500, 0.000)
Zr (0.250, 0.750, 0.500)
Ta (0.000, 0.000, 0.000)
Ta (0.750, 0.250, 0.500)

Output
* total magnetic moment: 0.00 μB per cell
* volume: 18.60 A^3/atom
* formation enthalpy at 0 K: 0.594 eV per atom
* total DFT energy (no corrections): -85.84 eV for the cell shown

Record 10
Material: SrSi2Sb2
Method: DFT, PBE-GGA
State: optimized geometry

Cell lengths 4.504, 4.504, 7.253 Å; angles 71.91, 71.91, 90.00 degrees
Positions (direct):
Sb (0.750, 0.250, 0.500)
Sb (0.250, 0.750, 0.500)
Si (0.414, 0.414, 0.172)
Si (0.586, 0.586, 0.828)
Sr (0.000, 0.000, 0.000)

Output
* total magnetic moment: 0.00 μB per cell
* volume: 26.43 A^3/atom
* total DFT energy (no corrections): -20.53 eV for the cell shown

Record 11
Material: Hf6CoIr2
Method: DFT, PBE-GGA
State: optimized geometry

Cell lengths 5.498, 7.116, 8.943 Å; angles 90.00, 89.66, 90.00 degrees
Positions (direct):
Hf (0.838, 0.943, 0.250)
Hf (0.841, 0.649, 0.545)
Hf (0.853, 0.719, 0.939)
Hf (0.647, 0.219, 0.561)
Hf (0.659, 0.149, 0.955)
Hf (0.662, 0.443, 0.250)
Hf (0.162, 0.057, 0.750)
Hf (0.159, 0.351, 0.455)
Hf (0.147, 0.281, 0.061)
Hf (0.353, 0.781, 0.439)
Hf (0.341, 0.851, 0.045)
Hf (0.338, 0.557, 0.750)
Co (0.500, 0.500, 0.000)
Co (0.000, 0.000, 0.500)
Ir (0.891, 0.401, 0.784)
Ir (0.609, 0.901, 0.716)
Ir (0.391, 0.099, 0.284)
Ir (0.109, 0.599, 0.216)

Output
* total magnetic moment: 0.00 μB per cell
* volume: 19.44 A^3/atom
* formation enthalpy at 0 K: -0.456 eV per atom
* total DFT energy (no corrections): -177.31 eV for the cell shown

Record 12
Material: Hg2BrCl
Method: DFT, PBE-GGA
State: optimized geometry

Cell lengths 4.168, 4.173, 6.938 Å; angles 90.00, 90.00, 90.00 degrees
Positions (direct):
Hg (0.000, 0.000, 0.875)
Hg (0.500, 0.500, 0.375)
Br (0.000, 0.000, 0.375)
Cl (0.500, 0.500, 0.875)

Output
* total magnetic moment: 0.00 μB per cell
* volume: 30.17 A^3/atom
* distance to the lowest polymorph of the same formula: 0.61 eV per formula unit
* total DFT energy (no corrections): -4.89 eV for the cell shown

Record 13
Material: Ac2PmAs3Pt4
Method: DFT, PBE-GGA
State: optimized geometry

Cell lengths 4.444, 4.444, 11.457 Å; angles 90.00, 90.00, 90.00 degrees
Positions (direct):
Ac (0.500, 0.000, 0.220)
Ac (0.000, 0.500, 0.780)
Pm (0.500, 0.500, 0.500)
As (0.000, 0.000, 0.500)
As (0.500, 0.000, 0.880)
As (0.000, 0.500, 0.120)
Pt (0.500, 0.500, 0.000)
Pt (0.000, 0.000, 0.000)
Pt (0.500, 0.000, 0.662)
Pt (0.000, 0.500, 0.338)

Output
* total magnetic moment: 0.00 μB per cell
* volume: 22.63 A^3/atom
* formation enthalpy at 0 K: -0.960 eV per atom
* total DFT energy (no corrections): -60.67 eV for the cell shown

Record 14
Material: RbFe2Br6Cl2
Method: DFT, PBE-GGA
State: optimized geometry

Cell lengths 7.300, 7.300, 10.200 Å; angles 90.00, 90.00, 120.00 degrees
Each line ends with the local moment (μB).
Positions (direct):
Rb (0.000, 0.000, 0.000)  0.01
Fe (0.333, 0.667, 0.725)  3.44
Fe (0.667, 0.333, 0.275)  3.44
Br (0.411, 0.414, 0.806)  0.14
Br (0.003, 0.589, 0.806)  0.14
Br (0.586, 0.997, 0.806)  0.14
Br (0.589, 0.586, 0.194)  0.14
Br (0.997, 0.411, 0.194)  0.14
Br (0.414, 0.003, 0.194)  0.14
Cl (0.333, 0.667, 0.516)  0.20
Cl (0.667, 0.333, 0.484)  0.20

Output
* total magnetic moment: 9.00 μB per cell
* volume: 42.80 A^3/atom
* total DFT energy (no corrections): -39.44 eV for the cell shown

Record 15
Material: MnCd2Pb
Method: DFT, PBE-GGA
State: optimized geometry

Cell lengths 3.171, 3.242, 8.829 Å; angles 90.00, 90.00, 90.00 degrees
Each line ends with the local moment (μB).
Positions (direct):
Cd (0.000, 0.000, 0.046)  -0.03
Cd (0.000, 0.000, 0.454)  -0.03
Mn (0.500, 0.500, 0.250)  3.70
Pb (0.500, 0.500, 0.750)  0.00

Output
* total magnetic moment: 3.81 μB per cell
* volume: 22.69 A^3/atom
* formation enthalpy at 0 K: 0.214 eV per atom
* total DFT energy (no corrections): -13.85 eV for the cell shown

Record 16
Material: BeInPd2
Method: DFT, PBE-GGA
State: optimized geometry

Cell lengths 3.990, 3.990, 9.036 Å; angles 77.24, 77.24, 90.00 degrees
Positions (direct):
Be (0.500, 0.500, 0.000)
Be (0.250, 0.750, 0.500)
Pd (0.594, 0.125, 0.250)
Pd (0.156, 0.625, 0.250)
Pd (0.375, 0.406, 0.750)
Pd (0.875, 0.844, 0.750)
In (0.000, 0.000, 0.000)
In (0.750, 0.250, 0.500)

Output
* total magnetic moment: 0.00 μB per cell
* volume: 17.08 A^3/atom
* distance to the lowest polymorph of the same formula: 1.93 eV per formula unit
* formation enthalpy at 0 K: 0.012 eV per atom
* total DFT energy (no corrections): -33.61 eV for the cell shown

Record 17
Material: TeP2Os
Method: DFT, PBE-GGA
State: optimized geometry

Cell lengths 3.861, 3.861, 8.036 Å; angles 105.12, 105.12, 45.80 degrees
Positions (direct):
Os (0.250, 0.250, 0.250)
P (0.906, 0.906, 0.098)
P (0.594, 0.594, 0.402)
Te (0.750, 0.750, 0.750)

Output
* total magnetic moment: 0.00 μB per cell
* volume: 20.59 A^3/atom
* distance to the lowest polymorph of the same formula: 0.00 eV per formula unit
* total DFT energy (no corrections): -25.06 eV for the cell shown

Record 18
Material: Pa2I13
Method: DFT, PBE-GGA
State: optimized geometry

Cell lengths 8.702, 11.096, 10.983 Å; angles 115.55, 101.65, 87.65 degrees
Positions (direct):
Pa (0.774, 0.828, 0.726)
Pa (0.226, 0.172, 0.274)
I (0.520, 0.536, 0.139)
I (0.480, 0.464, 0.861)
I (0.000, 0.000, 0.000)
I (0.002, 0.835, 0.569)
I (0.998, 0.165, 0.431)
I (0.904, 0.591, 0.745)
I (0.096, 0.409, 0.255)
I (0.535, 0.670, 0.478)
I (0.465, 0.330, 0.522)
I (0.547, 0.826, 0.895)
I (0.453, 0.174, 0.105)
I (0.649, 0.077, 0.728)
I (0.351, 0.923, 0.272)

Output
* total magnetic moment: 0.00 μB per cell
* volume: 62.39 A^3/atom
* total DFT energy (no corrections): -49.44 eV for the cell shown

Record 19
Material: AcMnCu
Method: DFT, PBE-GGA
State: optimized geometry

Cell lengths 7.332, 8.533, 8.533 Å; angles 61.27, 64.56, 64.56 degrees
Each line ends with the local moment (μB).
Positions (direct):
Ac (0.258, 0.959, 0.459)  -0.12
Ac (0.676, 0.041, 0.541)  -0.12
Ac (0.676, 0.541, 0.041)  -0.12
Ac (0.258, 0.459, 0.959)  -0.12
Ac (0.837, 0.250, 0.750)  -0.12
Ac (0.837, 0.750, 0.250)  -0.12
Cu (0.472, 0.500, 0.500)  0.07
Cu (0.472, 0.000, 0.000)  0.07
Cu (0.256, 0.892, 0.892)  0.07
Cu (0.040, 0.108, 0.108)  0.07
Cu (0.040, 0.608, 0.608)  0.07
Cu (0.256, 0.392, 0.392)  0.07
Mn (0.256, 0.750, 0.250)  3.58
Mn (0.256, 0.250, 0.750)  3.58
Mn (0.592, 0.667, 0.667)  3.28
Mn (0.926, 0.333, 0.333)  3.28
Mn (0.926, 0.833, 0.833)  3.28
Mn (0.592, 0.167, 0.167)  3.28

Output
* total magnetic moment: 19.23 μB per cell
* volume: 22.53 A^3/atom
* formation enthalpy at 0 K: 0.284 eV per atom
* total DFT energy (no corrections): -99.13 eV for the cell shown

Record 20
Material: Ta2Co3Pt2
Method: DFT, PBE-GGA
State: optimized geometry

Cell lengths 3.737, 4.729, 7.291 Å; angles 110.67, 104.85, 113.24 degrees
Each line ends with the local moment (μB).
Positions (direct):
Ta (0.837, 0.415, 0.259)  -0.16
Ta (0.163, 0.585, 0.741)  -0.16
Co (0.000, 0.000, 0.000)  0.84
Co (0.593, 0.305, 0.881)  0.68
Co (0.407, 0.695, 0.119)  0.68
Pt (0.269, 0.129, 0.409)  0.02
Pt (0.731, 0.871, 0.591)  0.02

Output
* total magnetic moment: 1.80 μB per cell
* volume: 14.05 A^3/atom
* formation enthalpy at 0 K: -0.422 eV per atom
* total DFT energy (no corrections): -60.06 eV for the cell shown

Record 21
Material: SmZnGa2Pd2
Method: DFT, PBE-GGA
State: optimized geometry

Cell lengths 4.340, 4.340, 6.753 Å; angles 90.00, 90.00, 120.00 degrees
Positions (direct):
Sm (0.000, 0.000, 0.000)
Zn (0.000, 0.000, 0.500)
Ga (0.667, 0.333, 0.265)
Ga (0.333, 0.667, 0.735)
Pd (0.667, 0.333, 0.656)
Pd (0.333, 0.667, 0.344)

Output
* total magnetic moment: 0.00 μB per cell
* volume: 18.36 A^3/atom
* formation enthalpy at 0 K: -0.675 eV per atom
* total DFT energy (no corrections): -26.48 eV for the cell shown

Record 22
Material: ErCdHgPb
Method: DFT, PBE-GGA
State: optimized geometry

Cell lengths 5.251, 5.251, 5.251 Å; angles 60.00, 60.00, 60.00 degrees
Positions (direct):
Pb (0.500, 0.500, 0.500)
Cd (0.750, 0.750, 0.750)
Hg (0.000, 0.000, 0.000)
Er (0.250, 0.250, 0.250)

Output
* total magnetic moment: 0.00 μB per cell
* volume: 25.60 A^3/atom
* distance to the lowest polymorph of the same formula: 0.53 eV per formula unit
* formation enthalpy at 0 K: -0.179 eV per atom
* total DFT energy (no corrections): -10.20 eV for the cell shown

Record 23
Material: BaBeW2
Method: DFT, PBE-GGA
State: optimized geometry

Cell lengths 2.838, 5.127, 5.351 Å; angles 90.00, 90.00, 90.00 degrees
Positions (direct):
Be (0.000, 0.500, 0.500)
Ba (0.500, 0.000, 0.500)
W (0.000, 0.000, 0.000)
W (0.500, 0.500, 0.000)

Output
* total magnetic moment: 0.00 μB per cell
* volume: 19.46 A^3/atom
* formation enthalpy at 0 K: 1.479 eV per atom
* total DFT energy (no corrections): -25.64 eV for the cell shown

Record 24
Material: Cu2Sn2Sb
Method: DFT, PBE-GGA
State: optimized geometry

Cell lengths 7.183, 7.183, 4.051 Å; angles 90.00, 90.00, 90.00 degrees
Positions (direct):
Sb (0.000, 0.000, 0.000)
Sb (0.500, 0.500, 0.000)
Sn (0.170, 0.670, 0.500)
Sn (0.670, 0.830, 0.500)
Sn (0.830, 0.330, 0.500)
Sn (0.330, 0.170, 0.500)
Cu (0.377, 0.877, 0.000)
Cu (0.877, 0.623, 0.000)
Cu (0.623, 0.123, 0.000)
Cu (0.123, 0.377, 0.000)

Output
* total magnetic moment: 0.00 μB per cell
* volume: 20.90 A^3/atom
* distance to the lowest polymorph of the same formula: 0.00 eV per formula unit
* total DFT energy (no corrections): -39.49 eV for the cell shown